[1]
## Y2MgP2 (SCAN)

Data for Y2MgP2 at its PBEsol-relaxed geometry.

CIF file:
```
data_Y2MgP2
_chemical_formula_sum 'Y4 Mg2 P4'
_symmetry_space_group_name_H-M 'P 4/m b m'
_symmetry_Int_Tables_number 127
_symmetry_space_group_name_Hall '-P 4 2ab'
_cell_length_a 7.322
_cell_length_b 7.322
_cell_length_c 3.765
_cell_angle_alpha 90.00
_cell_angle_beta 90.00
_cell_angle_gamma 90.00
loop_
_atom_site_label
_atom_site_type_symbol
_atom_site_fract_x
_atom_site_fract_y
_atom_site_fract_z
Y1 Y 0.156 0.344 0.000
Mg1 Mg 0.000 0.000 0.500
P1 P 0.152 0.652 0.500
```

Values from the calculation:
- electronic total energy (eV/atom) = -17.625

***

[2]
## Y3MgP (SCAN)

Data for Y3MgP at its PBEsol-relaxed geometry.

CIF file:
```
data_Y3MgP
_chemical_formula_sum 'Y3 Mg1 P1'
_symmetry_space_group_name_H-M 'P m -3 m'
_symmetry_Int_Tables_number 221
_symmetry_space_group_name_Hall '-P 4 2 3'
_cell_length_a 5.267
_cell_length_b 5.267
_cell_length_c 5.267
_cell_angle_alpha 90.00
_cell_angle_beta 90.00
_cell_angle_gamma 90.00
loop_
_atom_site_label
_atom_site_type_symbol
_atom_site_fract_x
_atom_site_fract_y
_atom_site_fract_z
Y1 Y 0.000 0.000 0.500
Mg1 Mg 0.500 0.500 0.500
P1 P 0.000 0.000 0.000
```

Values from the calculation:
- electronic total energy (eV/atom) = -20.418

***

[3]
## Mg2ZnP2 (SCAN)

Data for Mg2ZnP2 at its PBEsol-relaxed geometry.

CIF file:
```
data_Mg2ZnP2
_chemical_formula_sum 'Mg4 Zn2 P4'
_symmetry_space_group_name_H-M 'I 4/m m m'
_symmetry_Int_Tables_number 139
_symmetry_space_group_name_Hall '-I 4 2'
_cell_length_a 4.574
_cell_length_b 4.574
_cell_length_c 9.243
_cell_angle_alpha 90.00
_cell_angle_beta 90.00
_cell_angle_gamma 90.00
loop_
_atom_site_label
_atom_site_type_symbol
_atom_site_fract_x
_atom_site_fract_y
_atom_site_fract_z
Mg1 Mg 0.000 0.500 0.250
Zn1 Zn 0.000 0.000 0.000
P1 P 0.000 0.000 0.382
```

Values from the calculation:
- electronic total energy (eV/atom) = -9.137

***

[4]
## Mg3ZnP (SCAN)

Data for Mg3ZnP at its PBEsol-relaxed geometry.

CIF file:
```
data_Mg3ZnP
_chemical_formula_sum 'Mg3 Zn1 P1'
_symmetry_space_group_name_H-M 'P m -3 m'
_symmetry_Int_Tables_number 221
_symmetry_space_group_name_Hall '-P 4 2 3'
_cell_length_a 4.834
_cell_length_b 4.834
_cell_length_c 4.834
_cell_angle_alpha 90.00
_cell_angle_beta 90.00
_cell_angle_gamma 90.00
loop_
_atom_site_label
_atom_site_type_symbol
_atom_site_fract_x
_atom_site_fract_y
_atom_site_fract_z
Mg1 Mg 0.000 0.000 0.500
Zn1 Zn 0.000 0.000 0.000
P1 P 0.500 0.500 0.500
```

Values from the calculation:
- ΔE to the lowest computed polymorph (meV/atom) = 386

***

[5]
## Mg2ZnP (SCAN)

Data for Mg2ZnP at its PBEsol-relaxed geometry.

CIF file:
```
data_Mg2ZnP
_chemical_formula_sum 'Mg4 Zn2 P2'
_symmetry_space_group_name_H-M 'C 1 m 1'
_symmetry_Int_Tables_number 8
_cell_length_a 10.225
_cell_length_b 3.048
_cell_length_c 4.641
_cell_angle_alpha 90.00
_cell_angle_beta 107.13
_cell_angle_gamma 90.00
loop_
_symmetry_equiv_pos_as_xyz
'x,y,z'
'x,-y,z'
'x+1/2,y+1/2,z'
'x+1/2,-y+1/2,z'
loop_
_atom_site_label
_atom_site_type_symbol
_atom_site_fract_x
_atom_site_fract_y
_atom_site_fract_z
Mg1 Mg 0.000 0.000 0.000
Mg2 Mg 0.210 0.000 0.636
Zn1 Zn 0.260 0.500 0.161
P1 P 0.459 0.000 0.489
```

Values from the calculation:
- ΔE to the lowest computed polymorph (meV/atom) = 89

***

[6]
## Mg3ZnP (SCAN)

Data for Mg3ZnP at its PBEsol-relaxed geometry.

CIF file:
```
data_Mg3ZnP
_chemical_formula_sum 'Mg3 Zn1 P1'
_symmetry_space_group_name_H-M 'P m -3 m'
_symmetry_Int_Tables_number 221
_symmetry_space_group_name_Hall '-P 4 2 3'
_cell_length_a 4.848
_cell_length_b 4.848
_cell_length_c 4.848
_cell_angle_alpha 90.00
_cell_angle_beta 90.00
_cell_angle_gamma 90.00
loop_
_atom_site_label
_atom_site_type_symbol
_atom_site_fract_x
_atom_site_fract_y
_atom_site_fract_z
Mg1 Mg 0.000 0.000 0.500
Zn1 Zn 0.500 0.500 0.500
P1 P 0.000 0.000 0.000
```

Values from the calculation:
- ΔE to the lowest computed polymorph (meV/atom) = 0